# 1
# Ta2TlTe | the Alexandria database | PBE | relaxed
data_Ta2TlTe
_cell_length_a 4.2530
_cell_length_b 4.2530
_cell_length_c 9.2225
_cell_angle_alpha 90.00
_cell_angle_beta 90.00
_cell_angle_gamma 90.00
_symmetry_space_group_name_H-M 'I -4 m 2'
_symmetry_Int_Tables_number 119
_symmetry_space_group_name_Hall 'I -4 -2'
loop_
_atom_site_label
_atom_site_type_symbol
_atom_site_fract_x
_atom_site_fract_y
_atom_site_fract_z
Ta1 Ta 0.0000 0.0000 0.0000
Ta2 Ta 0.0000 0.5000 0.2500
Tl1 Tl 0.0000 0.0000 0.5000
Te1 Te 0.0000 0.5000 0.7500
# ΔE_f (raw) = 0.6791 eV per atom
# Mass density = 13.81 g cm⁻³
# VASP energy = -6.624 eV per atom
# Calculated volume = 20.85 Å³ per atom

# 2
# KNaSb | the Alexandria database | PBE | relaxed
data_KNaSb
_cell_length_a 4.2447
_cell_length_b 4.2447
_cell_length_c 11.6838
_cell_angle_alpha 90.00
_cell_angle_beta 90.00
_cell_angle_gamma 90.00
_symmetry_space_group_name_H-M 'I 4 m m'
_symmetry_Int_Tables_number 107
_symmetry_space_group_name_Hall 'I 4 -2'
loop_
_atom_site_label
_atom_site_type_symbol
_atom_site_fract_x
_atom_site_fract_y
_atom_site_fract_z
K1 K 0.0000 0.0000 0.0000
Na1 Na 0.0000 0.0000 0.2844
Sb1 Sb 0.0000 0.0000 0.6836
# ΔE_f (raw) = -0.2729 eV per atom
# Mass density = 2.90 g cm⁻³
# VASP energy = -2.453 eV per atom
# Calculated volume = 35.09 Å³ per atom

# 3
# ReTcNO2 | the Alexandria database | PBE | relaxed
data_ReTcNO2
_cell_length_a 3.8999
_cell_length_b 3.8999
_cell_length_c 3.9634
_cell_angle_alpha 90.00
_cell_angle_beta 90.00
_cell_angle_gamma 90.00
_symmetry_space_group_name_H-M 'P 4/m m m'
_symmetry_Int_Tables_number 123
_symmetry_space_group_name_Hall '-P 4 2'
loop_
_atom_site_label
_atom_site_type_symbol
_atom_site_fract_x
_atom_site_fract_y
_atom_site_fract_z
Re1 Re 0.0000 0.0000 0.0000
Tc1 Tc 0.5000 0.5000 0.5000
N1 N 0.0000 0.0000 0.5000
O1 O 0.0000 0.5000 0.0000
# ΔE_f (raw) = 0.0591 eV per atom
# Mass density = 9.10 g cm⁻³
# VASP energy = -8.152 eV per atom
# Calculated volume = 12.06 Å³ per atom

# 4
# CuAs2Br6 | the Alexandria database | PBE | relaxed
data_CuAs2Br6
_cell_length_a 13.2418
_cell_length_b 20.8978
_cell_length_c 5.7718
_cell_angle_alpha 90.00
_cell_angle_beta 115.72
_cell_angle_gamma 90.00
_symmetry_space_group_name_H-M 'C 1 2/c 1'
_symmetry_Int_Tables_number 15
_symmetry_space_group_name_Hall '-C 2yc'
loop_
_atom_site_label
_atom_site_type_symbol
_atom_site_fract_x
_atom_site_fract_y
_atom_site_fract_z
Cu1 Cu 0.0000 0.0033 0.2500
As1 As 0.1605 0.4075 0.6053
Br1 Br 0.1080 0.0729 0.0948
Br2 Br 0.1170 0.4194 0.1549
Br3 Br 0.1589 0.2962 0.6419
# ΔE_f (raw) = -0.2520 eV per atom
# Mass density = 3.20 g cm⁻³
# VASP energy = -2.856 eV per atom
# Calculated volume = 39.97 Å³ per atom

# 5
# Hf5Pd12Au2 | the Alexandria database | PBE | relaxed
data_Hf5Pd12Au2
_cell_length_a 15.2785
_cell_length_b 5.4918
_cell_length_c 8.9180
_cell_angle_alpha 90.00
_cell_angle_beta 106.21
_cell_angle_gamma 90.00
_symmetry_space_group_name_H-M 'C 1 2/m 1'
_symmetry_Int_Tables_number 12
_symmetry_space_group_name_Hall '-C 2y'
loop_
_atom_site_label
_atom_site_type_symbol
_atom_site_fract_x
_atom_site_fract_y
_atom_site_fract_z
Hf1 Hf 0.0000 0.0000 0.0000
Hf2 Hf 0.1292 0.5000 0.3766
Hf3 Hf 0.1966 0.5000 0.8800
Pd1 Pd 0.0188 0.5000 0.8592
Pd2 Pd 0.1328 0.0000 0.8355
Pd3 Pd 0.1513 0.2544 0.1211
Pd4 Pd 0.2021 0.2389 0.6187
Au1 Au 0.0000 0.2446 0.5000
# Mass density = 11.85 g cm⁻³
# VASP energy = -6.696 eV per atom
# Formation energy from the elements = -8.58 eV/f.u.
# Calculated volume = 18.91 Å³ per atom

# 6
# SmY5Pd2 | the Alexandria database | PBE | relaxed
data_SmY5Pd2
_cell_length_a 3.8640
_cell_length_b 12.9276
_cell_length_c 18.1667
_cell_angle_alpha 90.00
_cell_angle_beta 90.00
_cell_angle_gamma 90.00
_symmetry_space_group_name_H-M 'C m c m'
_symmetry_Int_Tables_number 63
_symmetry_space_group_name_Hall '-C 2c 2'
loop_
_atom_site_label
_atom_site_type_symbol
_atom_site_fract_x
_atom_site_fract_y
_atom_site_fract_z
Sm1 Sm 0.0000 0.1539 0.2500
Y1 Y 0.0000 0.1107 0.7500
Y2 Y 0.0000 0.1560 0.0447
Y3 Y 0.0000 0.4468 0.1011
Pd1 Pd 0.0000 0.2419 0.6287
# Mass density = 5.91 g cm⁻³
# VASP energy = -6.290 eV per atom
# Formation energy from the elements = -2.89 eV/f.u.
# Calculated volume = 28.36 Å³ per atom

# 7
# LiNdTmBi | the Alexandria database | PBE | relaxed
data_LiNdTmBi
_cell_length_a 7.5830
_cell_length_b 7.5830
_cell_length_c 7.5830
_cell_angle_alpha 90.00
_cell_angle_beta 90.00
_cell_angle_gamma 90.00
_symmetry_space_group_name_H-M 'F -4 3 m'
_symmetry_Int_Tables_number 216
_symmetry_space_group_name_Hall 'F -4 2 3'
loop_
_atom_site_label
_atom_site_type_symbol
_atom_site_fract_x
_atom_site_fract_y
_atom_site_fract_z
Li1 Li 0.0000 0.0000 0.0000
Nd1 Nd 0.2500 0.2500 0.7500
Tm1 Tm 0.2500 0.2500 0.2500
Bi1 Bi 0.0000 0.0000 0.5000
# Mass density = 8.06 g cm⁻³
# VASP energy = -4.055 eV per atom
# Formation energy from the elements = -1.19 eV/f.u.
# Calculated volume = 27.25 Å³ per atom

# 8
# Li2TcBr | the Alexandria database | PBE | relaxed
data_Li2TcBr
_cell_length_a 3.2832
_cell_length_b 3.2832
_cell_length_c 6.2628
_cell_angle_alpha 90.00
_cell_angle_beta 90.00
_cell_angle_gamma 90.00
_symmetry_space_group_name_H-M 'P 4 m m'
_symmetry_Int_Tables_number 99
_symmetry_space_group_name_Hall 'P 4 -2'
loop_
_atom_site_label
_atom_site_type_symbol
_atom_site_fract_x
_atom_site_fract_y
_atom_site_fract_z
Li1 Li 0.0000 0.0000 0.0000
Li2 Li 0.5000 0.5000 0.2432
Tc1 Tc 0.0000 0.0000 0.4812
Br1 Br 0.5000 0.5000 0.8029
# ΔE_f (raw) = 0.2611 eV per atom
# Mass density = 4.72 g cm⁻³
# VASP energy = -3.706 eV per atom
# Calculated volume = 16.88 Å³ per atom